## w
! PBE HfScCoTc, optimized geometry; values from VASP
&SYSTEM
  ibrav = 0, nat = 4, ntyp = 4
/
ATOMIC_SPECIES
Co 58.93 Co.upf
Sc 44.96 Sc.upf
Hf 178.49 Hf.upf
Tc 98.00 Tc.upf
CELL_PARAMETERS angstrom
-0.461 -1.988 -2.484
1.300 -2.409 1.686
-5.749 -1.509 2.275
ATOMIC_POSITIONS crystal
Co 0.500 0.500 0.615
Sc 0.000 0.000 0.360
Hf 0.000 0.000 0.852
Tc 0.500 0.500 0.101
! Crystal system ... tetragonal
! Space group ... P4mm (99)

## x
! PBE HfScCoTc, optimized geometry; values from VASP
&SYSTEM
  ibrav = 0, nat = 4, ntyp = 4
/
ATOMIC_SPECIES
Sc 44.96 Sc.upf
Tc 98.00 Tc.upf
Hf 178.49 Hf.upf
Co 58.93 Co.upf
CELL_PARAMETERS angstrom
-1.571 4.092 -1.076
-3.571 0.400 -2.731
-3.959 1.403 1.652
ATOMIC_POSITIONS crystal
Sc 0.000 0.000 0.000
Tc 0.250 0.250 0.250
Hf 0.500 0.500 0.500
Co 0.750 0.750 0.750
! Crystal system ... cubic
! Space group ... F-43m (216)

What should be chosen as the most stable of them? Choose x.

## w
! PBE HfCo3Se, optimized geometry; values from VASP
&SYSTEM
  ibrav = 0, nat = 5, ntyp = 3
/
ATOMIC_SPECIES
Co 58.93 Co.upf
Hf 178.49 Hf.upf
Se 78.96 Se.upf
CELL_PARAMETERS angstrom
4.594 0.000 0.000
0.000 4.594 0.000
0.000 0.000 4.594
ATOMIC_POSITIONS crystal
Co 0.000 0.000 0.500
Co 0.500 0.000 0.000
Co 0.000 0.500 0.000
Hf 0.000 0.000 0.000
Se 0.500 0.500 0.500
! Crystal system ... cubic
! Space group ... Pm-3m (221)

## x
! PBE HfCo3Se, optimized geometry; values from VASP
&SYSTEM
  ibrav = 0, nat = 5, ntyp = 3
/
ATOMIC_SPECIES
Co 58.93 Co.upf
Hf 178.49 Hf.upf
Se 78.96 Se.upf
CELL_PARAMETERS angstrom
4.275 0.000 0.000
0.000 4.275 0.000
0.000 0.000 4.275
ATOMIC_POSITIONS crystal
Co 0.500 0.000 0.000
Co 0.000 0.000 0.500
Co 0.000 0.500 0.000
Hf 0.500 0.500 0.500
Se 0.000 0.000 0.000
! Crystal system ... cubic
! Space group ... Pm-3m (221)

What should be chosen as the most stable of them? Choose x.